{"formula": "La2NdI6", "functional": "PBE", "state": "relaxed", "cell": [[-0.5560, 1.0566, -4.1474], [8.9929, -0.4144, 0.9344], [-5.2449, -10.3291, -1.9284]], "species": ["I", "I", "I", "I", "I", "I", "La", "La", "Nd"], "frac_coords": [[0.9915, 0.9829, 0.2172], [0.6948, 0.3896, 0.1140], [0.6443, 0.2885, 0.5366], [0.0085, 0.0171, 0.7828], [0.3052, 0.6104, 0.8860], [0.3557, 0.7115, 0.4634], [0.6506, 0.3012, 0.8091], [0.3494, 0.6988, 0.1909], [0.0000, 0.0000, 0.5000]], "final_energy_ev_per_atom": -4.02, "polymorph_energy_mev_per_atom": 0, "formation_energy_uncorrected_ev_per_atom": -1.36, "magmom_total_mub_per_cell": 0.0}

---

{"formula": "LaNd2I", "functional": "PBE", "state": "relaxed", "cell": [[3.8610, 0.0000, 0.0000], [1.9305, 3.3437, 0.0000], [1.9305, 1.1146, 10.8484]], "species": ["I", "La", "Nd", "Nd"], "frac_coords": [[0.0000, 0.0000, 0.0000], [0.5000, 0.5000, 0.5000], [0.2559, 0.2559, 0.2324], [0.7441, 0.7441, 0.7676]], "final_energy_ev_per_atom": -4.43, "polymorph_energy_mev_per_atom": 0, "formation_energy_uncorrected_ev_per_atom": -0.42, "magmom_total_mub_per_cell": 0.0}

---

{"formula": "LaNdI", "functional": "PBE", "state": "relaxed", "cell": [[5.0221, 0.0000, 0.0000], [2.5111, 4.3493, 0.0000], [2.5111, 1.4498, 10.1854]], "species": ["Nd", "Nd", "I", "I", "La", "La"], "frac_coords": [[0.7035, 0.7035, 0.8894], [0.2965, 0.2965, 0.1106], [0.5938, 0.5938, 0.2186], [0.4062, 0.4062, 0.7814], [0.8785, 0.8785, 0.3645], [0.1215, 0.1215, 0.6355]], "final_energy_ev_per_atom": -4.04, "polymorph_energy_mev_per_atom": 274, "formation_energy_uncorrected_ev_per_atom": -0.29, "magmom_total_mub_per_cell": 0.0}